This record from the Alexandria database describes CePm2DyTm5 after structural relaxation. The functional is GGA-PBE.

a = 9.7880 Å, b = 9.7880 Å, c = 9.7880 Å
α = 128.24°, β = 128.24°, γ = 76.24°
Closest atoms and distances in Å follow each position.
Atoms (fractional coordinates):
Ce 0.2500 0.7500 0.5000  4 Tm 3.01
Ce 0.7500 0.2500 0.5000  4 Tm 3.01
Pm 0.1192 0.6192 0.7384  1 Pm 2.88, 2 Tm 3.02
Pm 0.3808 0.1192 0.5000  1 Pm 2.88, 2 Tm 3.02
Pm 0.6192 0.8808 0.5000  1 Pm 2.88, 2 Tm 3.02
Pm 0.8808 0.3808 0.2616  1 Pm 2.88, 2 Tm 3.02
Dy 0.2500 0.2500 0.0000  10 Tm 3.50-3.85
Dy 0.7500 0.7500 0.0000  10 Tm 3.50-3.85
Tm 0.0000 0.0000 0.0000  4 Pm 3.41, 8 Tm 3.75
Tm 0.0657 0.1543 0.5000  1 Ce 3.01, 1 Pm 3.02
Tm 0.1543 0.6543 0.0886  1 Ce 3.01, 1 Pm 3.02
Tm 0.3457 0.4343 0.5000  1 Ce 3.01, 1 Pm 3.02
Tm 0.4343 0.9343 0.0886  1 Ce 3.01, 1 Pm 3.02
Tm 0.5000 0.5000 0.0000  4 Pm 3.41, 8 Tm 3.75
Tm 0.5657 0.0657 0.9114  1 Ce 3.01, 1 Pm 3.02
Tm 0.6543 0.5657 0.5000  1 Ce 3.01, 1 Pm 3.02
Tm 0.8457 0.3457 0.9114  1 Ce 3.01, 1 Pm 3.02
Tm 0.9343 0.8457 0.5000  1 Ce 3.01, 1 Pm 3.02

Results
Its symmetry is No. 140. As for the density of states at the Fermi level: 28.9 states/eV per cell. The calculation puts the formation energy from the elements at 0.2751 eV per atom. Its energy is -4.44 eV/atom. The calculation puts the calculated volume at 562.2 Å³/cell.



This record from the Alexandria database describes InMoP4 after structural relaxation. The functional is GGA-PBE.

a = 5.1364 Å, b = 5.1364 Å, c = 5.1364 Å
α = 60.00°, β = 60.00°, γ = 60.00°
Closest atoms and distances in Å follow each position.
Atoms (fractional coordinates):
In 0.0000 0.0000 0.0000  12 P 3.02, 4 Mo 3.15
Mo 0.7500 0.7500 0.7500  12 P 3.00, 4 In 3.15
P 0.3791 0.3791 0.3791  6 P 2.48-2.65
P 0.3791 0.3791 0.8627  6 P 2.48-2.65
P 0.3791 0.8627 0.3791  6 P 2.48-2.65
P 0.8627 0.3791 0.3791  6 P 2.48-2.65

Results
Its symmetry is No. 216. As for the density of states at the Fermi level: 3.4 states/eV per cell. The calculation puts the formation energy from the elements at 0.7441 eV per atom. Its energy is -5.12 eV/atom. The calculation puts the calculated volume at 95.8 Å³/cell.



This record from the Alexandria database describes In3C2 after structural relaxation. The functional is GGA-PBE.

a = 3.8243 Å, b = 3.8243 Å, c = 7.4992 Å
α = 90.00°, β = 90.00°, γ = 120.00°
Closest atoms and distances in Å follow each position.
Atoms (fractional coordinates):
In 0.0000 0.0000 0.0000  6 C 3.16, 6 In 3.38
In 0.3333 0.6667 0.6581  3 C 2.23
In 0.6667 0.3333 0.3419  3 C 2.23
C 0.3333 0.6667 0.3012  3 In 2.23
C 0.6667 0.3333 0.6988  3 In 2.23

Results
Its symmetry is No. 164. As for the density of states at the Fermi level: 2.9 states/eV per cell. The calculation puts the formation energy from the elements at 1.1921 eV per atom. Its energy is -4.14 eV/atom. The calculation puts the calculated volume at 95.0 Å³/cell. The energy relative to the lowest polymorph listed for this composition is 103.5 meV per atom.



This record from the Alexandria database describes IrPdRh2 after structural relaxation. The functional is GGA-PBE.

a = 3.8053 Å, b = 3.8053 Å, c = 16.4842 Å
α = 90.00°, β = 90.00°, γ = 120.00°
Closest atoms and distances in Å follow each position.
Atoms (fractional coordinates):
Ir 0.0000 0.0000 0.0000  6 Rh 2.52-2.57, 1 Pd 2.75
Ir 0.3333 0.6667 0.6667  6 Rh 2.52-2.57, 1 Pd 2.75
Ir 0.6667 0.3333 0.3333  6 Rh 2.52-2.57, 1 Pd 2.75
Pd 0.0000 0.0000 0.8331  6 Rh 2.61-2.66, 1 Ir 2.75
Pd 0.3333 0.6667 0.4998  6 Rh 2.61-2.66, 1 Ir 2.75
Pd 0.6667 0.3333 0.1665  6 Rh 2.61-2.66, 1 Ir 2.75
Rh 0.0000 0.0000 0.2519  3 Ir 2.57, 1 Rh 2.58, 3 Pd 2.61
Rh 0.0000 0.0000 0.4085  3 Ir 2.52, 1 Rh 2.58, 3 Pd 2.66
Rh 0.3333 0.6667 0.0752  3 Ir 2.52, 1 Rh 2.58, 3 Pd 2.66
Rh 0.3333 0.6667 0.9186  3 Ir 2.57, 1 Rh 2.58, 3 Pd 2.61
Rh 0.6667 0.3333 0.5852  3 Ir 2.57, 1 Rh 2.58, 3 Pd 2.61
Rh 0.6667 0.3333 0.7419  3 Ir 2.52, 1 Rh 2.58, 3 Pd 2.66

Results
Its symmetry is No. 160. As for the density of states at the Fermi level: 17.9 states/eV per cell. The calculation puts the formation energy from the elements at 0.6517 eV per atom. Its energy is -6.54 eV/atom. The calculation puts the calculated volume at 206.7 Å³/cell. The energy relative to the lowest polymorph listed for this composition is 636.6 meV per atom.



This record from the Alexandria database describes GaTe3F after structural relaxation. The functional is GGA-PBE.

a = 5.2784 Å, b = 5.2784 Å, c = 5.2784 Å
α = 90.00°, β = 90.00°, γ = 90.00°
Closest atoms and distances in Å follow each position.
Atoms (fractional coordinates):
Ga 0.0000 0.0000 0.0000  6 Te 2.64
Te 0.0000 0.0000 0.5000  2 Ga 2.64
Te 0.0000 0.5000 0.0000  2 Ga 2.64
Te 0.5000 0.0000 0.0000  2 Ga 2.64
F 0.5000 0.5000 0.5000  12 Te 3.73

Results
Its symmetry is No. 221. As for the density of states at the Fermi level: 6.4 states/eV per cell. The value obtained for the formation energy (no corrections) is 5.52 kcal/mol of atoms. Its energy is -2.63 eV/atom. The calculation puts the calculated volume at 147.1 Å³/cell. The energy relative to the lowest polymorph listed for this composition is 279.6 meV per atom.



This record from the Alexandria database describes Pr4Mg3In after structural relaxation. The functional is GGA-PBE.

a = 9.5739 Å, b = 9.5739 Å, c = 9.5739 Å
α = 33.49°, β = 33.49°, γ = 33.49°
Closest atoms and distances in Å follow each position.
Atoms (fractional coordinates):
Pr 0.1249 0.1249 0.1249  3 In 3.38, 5 Mg 3.38-3.43
Pr 0.3750 0.3750 0.3750  7 Mg 3.34-3.38, 1 In 3.39
Pr 0.6250 0.6250 0.6250  7 Mg 3.34-3.38, 1 In 3.39
Pr 0.8751 0.8751 0.8751  3 In 3.38, 5 Mg 3.38-3.43
Mg 0.0000 0.0000 0.0000  8 Pr 3.38
Mg 0.2516 0.2516 0.2516  8 Pr 3.34-3.43
Mg 0.7484 0.7484 0.7484  8 Pr 3.34-3.43
In 0.5000 0.5000 0.5000  8 Pr 3.38-3.39

Results
Its symmetry is No. 166. As for the density of states at the Fermi level: 8.7 states/eV per cell. The calculation puts the formation energy from the elements at -0.2223 eV per atom. Its energy is -3.55 eV/atom. The calculation puts the calculated volume at 238.0 Å³/cell.